Run w
Entry from Alexandria: crystalline ZrMnCu2S4 at its relaxed geometry (PBE-GGA).

Cell: 11.9701 4.7967 6.2660 Å, 90.00 118.40 90.00°
With the nearest neighbours (Å) after each atom.
Space group Cm (No. 8)
Asymmetric unit:
Zr 0.0000 0.0000 0.0000 (multiplicity 2)  5 S 2.43-2.63
Mn 0.2375 0.0000 0.5862 (multiplicity 2)  5 S 2.44-2.59
Cu 0.3055 0.5000 0.3986 (multiplicity 2)  2 S 2.24-2.29
Cu 0.4340 0.0000 0.1981 (multiplicity 2)  2 S 2.30-2.33
S 0.2392 0.0000 0.1977 (multiplicity 2)  1 Cu 2.33, 1 Mn 2.44, 1 Zr 2.52
S 0.2541 0.5000 0.6992 (multiplicity 2)  1 Cu 2.24, 2 Mn 2.48
S 0.4792 0.0000 0.8801 (multiplicity 2)  1 Cu 2.30, 2 Zr 2.49
S 0.4925 0.5000 0.3812 (multiplicity 2)  1 Cu 2.29, 1 Zr 2.43

Properties
* mass density: 4.213 g/cm³

Run x
Entry from Alexandria: crystalline ZrMnCu2S4 at its relaxed geometry (PBE-GGA).

Cell: 5.5125 5.5125 10.7916 Å, 90.00 90.00 90.00°
With the nearest neighbours (Å) after each atom.
Space group I-42m (No. 121)
Asymmetric unit:
Zr 0.0000 0.0000 0.0000 (multiplicity 2)  4 S 2.45
Mn 0.0000 0.0000 0.5000 (multiplicity 2)  4 S 2.39
Cu 0.0000 0.5000 0.2500 (multiplicity 4)  4 S 2.32
S 0.2450 0.2450 0.3672 (multiplicity 8)  2 Cu 2.32, 1 Mn 2.39, 1 Zr 2.45

Properties
* mass density: 4.066 g/cm³

Least stable of them? run w.

Run w
Entry from Alexandria: crystalline ScMn2Cu at its relaxed geometry (PBE-GGA).

Cell: 3.2691 4.2569 4.3103 Å, 90.00 90.00 90.00°
With the nearest neighbours (Å) after each atom.
Space group Pmmm (No. 47)
Asymmetric unit:
Sc 0.0000 0.0000 0.0000 (multiplicity 1)  4 Cu 2.68, 4 Mn 2.70
Mn 0.0000 0.5000 0.5000 (multiplicity 1)  4 Mn 2.68, 4 Cu 2.70
Mn 0.5000 0.0000 0.5000 (multiplicity 1)  4 Mn 2.68, 4 Sc 2.70
Cu 0.5000 0.5000 0.0000 (multiplicity 1)  4 Sc 2.68, 4 Mn 2.70

Properties
* mass density: 6.045 g/cm³

Run x
Entry from Alexandria: crystalline ScMn2Cu at its relaxed geometry (PBE-GGA).

Cell: 5.3413 8.7661 2.7848 Å, 90.00 115.22 90.00°
With the nearest neighbours (Å) after each atom.
Space group C2/m (No. 12)
Asymmetric unit:
Sc 0.0000 0.0000 0.0000 (multiplicity 2)  4 Mn 2.63, 4 Cu 2.67-2.92, 2 Sc 2.78
Mn 0.2500 0.2500 0.5000 (multiplicity 4)  2 Sc 2.63, 2 Cu 2.63, 6 Mn 2.67-2.92
Cu 0.0000 0.5000 0.0000 (multiplicity 2)  4 Mn 2.63, 4 Sc 2.67-2.92, 2 Cu 2.78

Properties
* mass density: 6.148 g/cm³

Least stable of them? run x.

Run w
Entry from Alexandria: crystalline ScMn2Cu at its relaxed geometry (PBE-GGA).

Cell: 3.0976 3.0976 6.4543 Å, 90.00 90.00 90.00°
With the nearest neighbours (Å) after each atom.
Space group P4/mmm (No. 123)
Asymmetric unit:
Sc 0.0000 0.0000 0.0000 (multiplicity 1)  8 Mn 2.86, 4 Sc 3.10
Mn 0.5000 0.5000 0.2843 (multiplicity 2)  4 Cu 2.60, 1 Mn 2.78, 4 Sc 2.86
Cu 0.0000 0.0000 0.5000 (multiplicity 1)  8 Mn 2.60

Properties
* mass density: 5.855 g/cm³

Run x
Entry from Alexandria: crystalline ScMn2Cu at its relaxed geometry (PBE-GGA).

Cell: 3.9056 3.9056 3.8661 Å, 90.00 90.00 90.00°
With the nearest neighbours (Å) after each atom.
Space group P4/mmm (No. 123)
Asymmetric unit:
Sc 0.0000 0.0000 0.0000 (multiplicity 1)  8 Mn 2.75, 4 Cu 2.76
Mn 0.0000 0.5000 0.5000 (multiplicity 2)  4 Sc 2.75, 4 Cu 2.75, 4 Mn 2.76
Cu 0.5000 0.5000 0.0000 (multiplicity 1)  8 Mn 2.75, 4 Sc 2.76

Properties
* mass density: 6.149 g/cm³

Run y
Entry from Alexandria: crystalline ScMn2Cu at its relaxed geometry (PBE-GGA).

Cell: 6.2039 6.2039 6.2039 Å, 90.00 90.00 90.00°
With the nearest neighbours (Å) after each atom.
Space group F-43m (No. 216)
Asymmetric unit:
Sc 0.0000 0.0000 0.0000 (multiplicity 4)  4 Cu 2.69, 4 Mn 2.69
Mn 0.0000 0.0000 0.5000 (multiplicity 4)  4 Mn 2.69, 4 Cu 2.69
Mn 0.2500 0.2500 0.2500 (multiplicity 4)  4 Mn 2.69, 4 Sc 2.69
Cu 0.2500 0.2500 0.7500 (multiplicity 4)  4 Mn 2.69, 4 Sc 2.69

Properties
* mass density: 6.075 g/cm³

Run z
Entry from Alexandria: crystalline ScMn2Cu at its relaxed geometry (PBE-GGA).

Cell: 2.9142 2.9142 25.1451 Å, 90.00 90.00 120.00°
With the nearest neighbours (Å) after each atom.
Space group R3m (No. 160, hexagonal axes)
Asymmetric unit:
Sc 0.0000 0.0000 0.0000 (multiplicity 3)  3 Mn 2.81, 3 Cu 2.84, 6 Sc 2.91
Mn 0.0000 0.0000 0.2436 (multiplicity 3)  3 Mn 2.50
Mn 0.0000 0.0000 0.5034 (multiplicity 3)  3 Mn 2.50, 3 Cu 2.60
Cu 0.0000 0.0000 0.7578 (multiplicity 3)  3 Mn 2.60, 3 Sc 2.84, 6 Cu 2.91

Properties
* mass density: 5.882 g/cm³

Least stable of them? run z.

Run w
Entry from Alexandria: crystalline ScMn2Cu2 at its relaxed geometry (PBE-GGA).

Cell: 7.2578 7.2578 2.8271 Å, 90.00 90.00 90.00°
With the nearest neighbours (Å) after each atom.
Space group P4/mbm (No. 127)
Asymmetric unit:
Sc 0.0000 0.0000 0.0000 (multiplicity 2)  4 Mn 2.81, 2 Sc 2.83, 8 Cu 3.08
Mn 0.1391 0.3609 0.0000 (multiplicity 4)  6 Cu 2.53-2.57, 2 Sc 2.81, 2 Mn 2.83
Cu 0.1563 0.6563 0.5000 (multiplicity 4)  6 Mn 2.53-2.57, 2 Cu 2.83

Properties
* mass density: 6.287 g/cm³

Run x
Entry from Alexandria: crystalline ScMn2Cu2 at its relaxed geometry (PBE-GGA).

Cell: 3.3515 3.3515 12.3174 Å, 90.00 90.00 90.00°
With the nearest neighbours (Å) after each atom.
Space group I4/mmm (No. 139)
Asymmetric unit:
Sc 0.0000 0.0000 0.0000 (multiplicity 2)  8 Cu 2.67
Mn 0.0000 0.5000 0.2500 (multiplicity 4)  4 Mn 2.37, 4 Cu 2.50
Cu 0.0000 0.0000 0.4001 (multiplicity 4)  1 Cu 2.46, 4 Mn 2.50, 4 Sc 2.67

Properties
* mass density: 6.767 g/cm³

Least stable of them? run x.

Run w
Entry from Alexandria: crystalline Mn3CuSi at its relaxed geometry (PBE-GGA).

Cell: 4.4775 4.4775 4.4775 Å, 90.00 90.00 90.00°
With the nearest neighbours (Å) after each atom.
Space group Pm-3m (No. 221)
Asymmetric unit:
Mn 0.0000 0.0000 0.5000 (multiplicity 3)  2 Cu 2.24
Cu 0.0000 0.0000 0.0000 (multiplicity 1)  6 Mn 2.24
Si 0.5000 0.5000 0.5000 (multiplicity 1)  12 Mn 3.17

Properties
* mass density: 4.744 g/cm³

Run x
Entry from Alexandria: crystalline Mn3CuSi at its relaxed geometry (PBE-GGA).

Cell: 4.3643 4.3643 4.3643 Å, 90.00 90.00 90.00°
With the nearest neighbours (Å) after each atom.
Space group Pm-3m (No. 221)
Asymmetric unit:
Mn 0.0000 0.0000 0.5000 (multiplicity 3)  2 Si 2.18
Cu 0.5000 0.5000 0.5000 (multiplicity 1)  12 Mn 3.09
Si 0.0000 0.0000 0.0000 (multiplicity 1)  6 Mn 2.18

Properties
* mass density: 5.123 g/cm³

Least stable of them? run w.

Run w
Entry from Alexandria: crystalline MnCu3Si at its relaxed geometry (PBE-GGA).

Cell: 4.5038 4.5038 4.5038 Å, 90.00 90.00 90.00°
With the nearest neighbours (Å) after each atom.
Space group Pm-3m (No. 221)
Asymmetric unit:
Mn 0.0000 0.0000 0.0000 (multiplicity 1)  6 Cu 2.25
Cu 0.0000 0.0000 0.5000 (multiplicity 3)  2 Mn 2.25
Si 0.5000 0.5000 0.5000 (multiplicity 1)  12 Cu 3.18

Properties
* mass density: 4.974 g/cm³

Run x
Entry from Alexandria: crystalline MnCu3Si at its relaxed geometry (PBE-GGA).

Cell: 4.3580 4.3580 4.3580 Å, 90.00 90.00 90.00°
With the nearest neighbours (Å) after each atom.
Space group Pm-3m (No. 221)
Asymmetric unit:
Mn 0.0000 0.0000 0.0000 (multiplicity 1)  12 Cu 3.08
Cu 0.0000 0.5000 0.5000 (multiplicity 3)  2 Si 2.18
Si 0.5000 0.5000 0.5000 (multiplicity 1)  6 Cu 2.18

Properties
* mass density: 5.490 g/cm³

Least stable of them? run w.